(1)
DFT (GGA-PBE) results for Ti2CdH after structural relaxation.

Summary:
Raw total energy, eV/atom: -4.97
Magnetization, μB per formula unit: 0.791
Density of states at the Fermi level, states/eV per cell: 12.63

```
data_Ti2CdH
_chemical_formula_sum 'Ti8 Cd4 H4'
_cell_length_a 6.014
_cell_length_b 6.014
_cell_length_c 6.609
_cell_angle_alpha 90.00
_cell_angle_beta 90.00
_cell_angle_gamma 90.00
_symmetry_space_group_name_H-M 'I -4 2 d'
_symmetry_Int_Tables_number 122
_symmetry_space_group_name_Hall 'I -4 2bw'
loop_
_atom_site_label
_atom_site_type_symbol
_atom_site_fract_x
_atom_site_fract_y
_atom_site_fract_z
Ti1 Ti 0.127 0.250 0.125
Cd1 Cd 0.000 0.000 0.500
H1 H 0.000 0.000 0.000
```



(2)
DFT (GGA-PBE) results for LiZrNi2 after structural relaxation.

Summary:
Magnetization, μB per formula unit: 0.000
Density of states at the Fermi level, states/eV per cell: 19.28
DFT formation energy, meV/atom: -75

```
data_LiZrNi2
_chemical_formula_sum 'Li4 Zr4 Ni8'
_cell_length_a 6.043
_cell_length_b 6.043
_cell_length_c 6.043
_cell_angle_alpha 90.00
_cell_angle_beta 90.00
_cell_angle_gamma 90.00
_symmetry_space_group_name_H-M 'F -4 3 m'
_symmetry_Int_Tables_number 216
_symmetry_space_group_name_Hall 'F -4 2 3'
loop_
_atom_site_label
_atom_site_type_symbol
_atom_site_fract_x
_atom_site_fract_y
_atom_site_fract_z
Li1 Li 0.000 0.000 0.000
Zr1 Zr 0.250 0.250 0.250
Ni1 Ni 0.000 0.000 0.500
Ni2 Ni 0.250 0.250 0.750
```



(3)
DFT (GGA-PBE) results for BaAs2RhO8 after structural relaxation.

Summary:
E_form (uncorrected), eV/atom: -1.243
Magnetization, μB per formula unit: 1.051
Density of states at the Fermi level, states/eV per cell: 17.29

```
data_BaAs2RhO8
_chemical_formula_sum 'Ba3 As6 Rh3 O24'
_cell_length_a 5.0907
_cell_length_b 5.0907
_cell_length_c 24.6673
_cell_angle_alpha 90.00
_cell_angle_beta 90.00
_cell_angle_gamma 120.00
_symmetry_space_group_name_H-M 'R 3 2'
_symmetry_Int_Tables_number 155
_symmetry_space_group_name_Hall 'R 3 2"'
loop_
_atom_site_label
_atom_site_type_symbol
_atom_site_fract_x
_atom_site_fract_y
_atom_site_fract_z
Ba1 Ba 0.0000 0.0000 0.0000
As1 As 0.0000 0.0000 0.2398
Rh1 Rh 0.0000 0.0000 0.5000
O1 O 0.0000 0.0000 0.3089
O2 O 0.0178 0.3864 0.1121
```